#i
First-principles (PBE) data for KHgF4 after structural relaxation, as listed in the Alexandria database.

abc: 6.8812 6.8812 6.1919
angles: 111.08 111.08 110.39
Sites, in units of the cell vectors:
K 0.1252 0.8748 0.7500
K 0.8748 0.1252 0.2500
Hg 0.3763 0.6237 0.2500
Hg 0.6237 0.3763 0.7500
F 0.0668 0.5664 0.2752
F 0.2898 0.2944 0.7278
F 0.2944 0.2898 0.2278
F 0.4336 0.9332 0.2248
F 0.5664 0.0668 0.7752
F 0.7056 0.7102 0.7722
F 0.7102 0.7056 0.2722
F 0.9332 0.4336 0.7248

---

#ii
First-principles (PBE) data for KHgF4 after structural relaxation, as listed in the Alexandria database.

abc: 6.6816 4.8352 6.9435
angles: 90.00 110.15 90.00
Sites, in units of the cell vectors:
K 0.0000 0.0000 0.0000
K 0.5000 0.5000 0.0000
Hg 0.0000 0.5000 0.5000
Hg 0.5000 0.0000 0.5000
F 0.0686 0.5000 0.8205
F 0.1638 0.0000 0.4207
F 0.3362 0.5000 0.5793
F 0.4314 0.0000 0.1795
F 0.5686 0.0000 0.8205
F 0.6638 0.5000 0.4207
F 0.8362 0.0000 0.5793
F 0.9314 0.5000 0.1795

---

Energies relative to the most stable structure, in meV/atom: #i 0; #ii 8.

---

#i
First-principles (PBE) data for K2HgF6 after structural relaxation, as listed in the Alexandria database.

abc: 6.0989 6.0989 6.1137
angles: 119.88 119.88 60.39
Sites, in units of the cell vectors:
K 0.2494 0.2494 0.2506
K 0.7506 0.7506 0.7494
Hg 0.5000 0.5000 0.0000
F 0.2549 0.2549 0.7546
F 0.2558 0.7437 0.2439
F 0.2563 0.7442 0.7561
F 0.7437 0.2558 0.2439
F 0.7442 0.2563 0.7561
F 0.7451 0.7451 0.2454

---

#ii
First-principles (PBE) data for K2HgF6 after structural relaxation, as listed in the Alexandria database.

abc: 6.1802 7.9163 7.8409
angles: 90.00 117.89 90.00
Sites, in units of the cell vectors:
K 0.1779 0.0561 0.3089
K 0.1779 0.4439 0.8089
K 0.8221 0.5561 0.1911
K 0.8221 0.9439 0.6911
Hg 0.5000 0.0000 0.0000
Hg 0.5000 0.5000 0.5000
F 0.1833 0.1364 0.9638
F 0.1833 0.3636 0.4638
F 0.2748 0.7179 0.4260
F 0.2748 0.7821 0.9260
F 0.3928 0.0355 0.7033
F 0.3928 0.4645 0.2033
F 0.6072 0.5355 0.7967
F 0.6072 0.9645 0.2967
F 0.7252 0.2179 0.0740
F 0.7252 0.2821 0.5740
F 0.8167 0.6364 0.5362
F 0.8167 0.8636 0.0362

---

Energies relative to the most stable structure, in meV/atom: #i 21; #ii 0.

---

#i
First-principles (PBE) data for K2LiHgF after structural relaxation, as listed in the Alexandria database.

abc: 6.3152 6.3152 3.7526
angles: 90.00 90.00 90.00
Sites, in units of the cell vectors:
K 0.0000 0.5000 0.0000
K 0.5000 0.0000 0.0000
Li 0.0000 0.0000 0.5000
Hg 0.5000 0.5000 0.5000
F 0.0000 0.0000 0.0000

---

#ii
First-principles (PBE) data for K2LiHgF after structural relaxation, as listed in the Alexandria database.

abc: 6.2718 6.2718 4.9488
angles: 90.00 90.00 90.00
Sites, in units of the cell vectors:
K 0.0000 0.5000 0.0000
K 0.5000 0.0000 0.0000
Li 0.0000 0.0000 0.0000
Hg 0.0000 0.0000 0.5000
F 0.5000 0.5000 0.5000

---

Energies relative to the most stable structure, in meV/atom: #i 0; #ii 542.

---

#i
First-principles (PBE) data for KHgN2F after structural relaxation, as listed in the Alexandria database.

abc: 5.8962 5.8962 4.7705
angles: 90.00 90.00 90.00
Sites, in units of the cell vectors:
K 0.0000 0.0000 0.0000
Hg 0.5000 0.5000 0.5000
N 0.0000 0.5000 0.0000
N 0.5000 0.0000 0.0000
F 0.0000 0.0000 0.5000

---

#ii
First-principles (PBE) data for KHgN2F after structural relaxation, as listed in the Alexandria database.

abc: 4.3099 4.3099 5.2267
angles: 90.00 90.00 90.00
Sites, in units of the cell vectors:
K 0.0000 0.0000 0.0000
Hg 0.5000 0.5000 0.5000
N 0.0000 0.5000 0.5000
N 0.5000 0.0000 0.5000
F 0.5000 0.5000 0.0000

---

Energies relative to the most stable structure, in meV/atom: #i 524; #ii 0.